[1]
DFT (PBE) results for LiMg2Hg6 after structural relaxation.

Lattice parameters (Å, degrees): 8.9176 8.9176 3.4192 100.10 100.10 52.33
Element x y z (fractional)
Li: 0.0000 0.0000 0.0000
Mg: 0.3300 0.3300 0.3713
Mg: 0.6700 0.6700 0.6287
Hg: 0.0254 0.6499 0.8725
Hg: 0.3094 0.6906 0.5000
Hg: 0.3501 0.9746 0.1275
Hg: 0.6499 0.0254 0.8725
Hg: 0.6906 0.3094 0.5000
Hg: 0.9746 0.3501 0.1275

## Properties
* energy relative to the elements: -0.1374 eV per atom
* DOS at the Fermi energy: 3.401 states/eV/f.u.

***

[2]
DFT (PBE) results for La15NdMg4 after structural relaxation.

Lattice parameters (Å, degrees): 5.1529 5.1529 25.7352 90.00 90.00 90.00
Element x y z (fractional)
La: 0.0000 0.0000 0.0000
La: 0.0000 0.0000 0.2022
La: 0.0000 0.0000 0.4012
La: 0.0000 0.0000 0.5988
La: 0.0000 0.0000 0.7978
La: 0.0000 0.5000 0.1026
La: 0.0000 0.5000 0.3019
La: 0.0000 0.5000 0.5000
La: 0.0000 0.5000 0.6981
La: 0.0000 0.5000 0.8974
La: 0.5000 0.0000 0.1026
La: 0.5000 0.0000 0.3019
La: 0.5000 0.0000 0.5000
La: 0.5000 0.0000 0.6981
La: 0.5000 0.0000 0.8974
Nd: 0.5000 0.5000 0.0000
Mg: 0.5000 0.5000 0.2034
Mg: 0.5000 0.5000 0.4012
Mg: 0.5000 0.5000 0.5988
Mg: 0.5000 0.5000 0.7966

## Properties
* energy relative to the elements: -0.0136 eV per atom
* DOS at the Fermi energy: 33.487 states/eV/f.u.

***

[3]
DFT (PBE) results for PrZr2TaN4 after structural relaxation.

Lattice parameters (Å, degrees): 6.1205 6.1205 11.6300 90.00 90.00 148.73
Element x y z (fractional)
Pr: 0.1067 0.8933 0.7500
Pr: 0.8933 0.1067 0.2500
Zr: 0.3704 0.6296 0.5325
Zr: 0.3704 0.6296 0.9675
Zr: 0.6296 0.3704 0.0325
Zr: 0.6296 0.3704 0.4675
Ta: 0.1559 0.8441 0.2500
Ta: 0.8441 0.1559 0.7500
N: 0.0000 0.0000 0.0000
N: 0.0000 0.0000 0.5000
N: 0.2609 0.7391 0.1155
N: 0.2609 0.7391 0.3845
N: 0.4493 0.5507 0.7500
N: 0.5507 0.4493 0.2500
N: 0.7391 0.2609 0.6155
N: 0.7391 0.2609 0.8845

## Properties
* DOS at the Fermi energy: 2.611 states/eV/f.u.
* formation energy from raw total energies: -1.231 eV/atom

***

[4]
DFT (PBE) results for PRuRh after structural relaxation.

Lattice parameters (Å, degrees): 5.5553 5.5553 5.5553 90.00 90.00 90.00
Element x y z (fractional)
P: 0.0000 0.0000 0.0000
P: 0.0000 0.5000 0.5000
P: 0.5000 0.0000 0.5000
P: 0.5000 0.5000 0.0000
Ru: 0.2500 0.2500 0.7500
Ru: 0.2500 0.7500 0.2500
Ru: 0.7500 0.2500 0.2500
Ru: 0.7500 0.7500 0.7500
Rh: 0.2500 0.2500 0.2500
Rh: 0.2500 0.7500 0.7500
Rh: 0.7500 0.2500 0.7500
Rh: 0.7500 0.7500 0.2500

## Properties
* energy relative to the elements: -0.5307 eV per atom
* DOS at the Fermi energy: 3.405 states/eV/f.u.

***

[5]
DFT (PBE) results for ErTm2HgC after structural relaxation.

Lattice parameters (Å, degrees): 4.8118 4.8118 4.8626 90.00 90.00 90.00
Element x y z (fractional)
Er: 0.0000 0.0000 0.0000
Tm: 0.0000 0.5000 0.5000
Tm: 0.5000 0.0000 0.5000
Hg: 0.5000 0.5000 0.0000
C: 0.0000 0.0000 0.5000

## Properties
* energy relative to the elements: -0.4164 eV per atom
* DOS at the Fermi energy: 6.795 states/eV/f.u.

***

[6]
DFT (PBE) results for Na10B19C after structural relaxation.

Lattice parameters (Å, degrees): 9.1575 9.1575 13.6345 112.07 112.07 18.80
Element x y z (fractional)
Na: 0.0000 0.0000 0.0000
Na: 0.9996 0.9996 0.4994
Na: 0.2002 0.2002 0.3989
Na: 0.2004 0.2004 0.8998
Na: 0.3992 0.3992 0.2993
Na: 0.4005 0.4005 0.8002
Na: 0.5991 0.5991 0.1999
Na: 0.6004 0.6004 0.7006
Na: 0.7999 0.7999 0.5990
Na: 0.8006 0.8006 0.0985
B: 0.0345 0.0345 0.3183
B: 0.0350 0.0350 0.8197
B: 0.1658 0.1658 0.5815
B: 0.2264 0.2264 0.2020
B: 0.2345 0.2345 0.7176
B: 0.3654 0.3654 0.9809
B: 0.3676 0.3676 0.4850
B: 0.4343 0.4343 0.1181
B: 0.4362 0.4362 0.6218
B: 0.5660 0.5660 0.3813
B: 0.5687 0.5687 0.8870
B: 0.6341 0.6341 0.5183
B: 0.6366 0.6366 0.0229
B: 0.7656 0.7656 0.2806
B: 0.7660 0.7660 0.7809
B: 0.8311 0.8311 0.4122
B: 0.8338 0.8338 0.9181
B: 0.9652 0.9652 0.6798
B: 0.9658 0.9658 0.1812
C: 0.1666 0.1666 0.0828

## Properties
* energy relative to the elements: 0.2790 eV per atom
* DOS at the Fermi energy: 7.292 states/eV/f.u.

***

[7]
DFT (PBE) results for Zr4RhO after structural relaxation.

Lattice parameters (Å, degrees): 7.4916 7.4916 5.7492 105.94 105.94 121.46
Element x y z (fractional)
Zr: 0.0633 0.6482 0.8447
Zr: 0.1914 0.2912 0.7177
Zr: 0.2912 0.1914 0.2177
Zr: 0.3518 0.9367 0.6553
Zr: 0.6482 0.0633 0.3447
Zr: 0.7088 0.8086 0.7823
Zr: 0.8086 0.7088 0.2823
Zr: 0.9367 0.3518 0.1553
Rh: 0.3843 0.6157 0.2500
Rh: 0.6157 0.3843 0.7500
O: 0.0610 0.9390 0.7500
O: 0.9390 0.0610 0.2500

## Properties
* DOS at the Fermi energy: 4.247 states/eV/f.u.
* formation energy from raw total energies: -0.988 eV/atom

***

[8]
DFT (PBE) results for DyCuAg after structural relaxation.

Lattice parameters (Å, degrees): 3.6054 3.6054 9.1360 90.00 90.00 90.00
Element x y z (fractional)
Dy: 0.0000 0.0000 0.0000
Dy: 0.5000 0.5000 0.5000
Cu: 0.0000 0.0000 0.3333
Cu: 0.5000 0.5000 0.8333
Ag: 0.0000 0.0000 0.6804
Ag: 0.5000 0.5000 0.1804

## Properties
* energy relative to the elements: -0.2251 eV per atom
* DOS at the Fermi energy: 0.979 states/eV/f.u.